# 1
VASP calculation (PBE-GGA) on crystalline PrSm12Dy2 at its relaxed geometry.

a = 6.7774 Å, b = 6.7774 Å, c = 24.9438 Å
α = 90.00°, β = 90.00°, γ = 116.34°
Fractional coordinates of all 30 atoms:
Sm  0.7473  0.7527  0.0774
Sm  0.0000  0.0000  0.6739
Sm  0.7482  0.2482  0.8687
Sm  0.0000  0.0000  0.3261
Sm  0.2321  0.7321  0.5853
Sm  0.0000  0.0000  0.7995
Sm  0.5000  0.5000  0.7995
Sm  0.2270  0.2730  0.4400
Sm  0.2518  0.7518  0.8687
Sm  0.7730  0.7270  0.4400
Sm  0.7270  0.7730  0.5600
Sm  0.5000  0.5000  0.2005
Sm  0.7527  0.7473  0.9226
Sm  0.5000  0.5000  0.3261
Sm  0.2679  0.7679  0.4147
Sm  0.7321  0.2321  0.4147
Sm  0.0000  0.0000  0.2005
Sm  0.7679  0.2679  0.5853
Sm  0.7518  0.2518  0.1313
Sm  0.2482  0.7482  0.1313
Sm  0.2730  0.2270  0.5600
Sm  0.2473  0.2527  0.9226
Sm  0.5000  0.5000  0.6739
Sm  0.2527  0.2473  0.0774
Pr  0.0000  0.5000  0.0014
Pr  0.5000  0.0000  0.9986
Dy  0.0000  0.5000  0.7331
Dy  0.0000  0.5000  0.2714
Dy  0.5000  0.0000  0.7286
Dy  0.5000  0.0000  0.2669

Summary:
electronic total energy	-4.549	eV/atom
size of the total moment	0.000	μB/f.u.
space-group type	Cmme (67)


# 2
VASP calculation (PBE-GGA) on crystalline Li2H2I at its relaxed geometry.

a = 3.4593 Å, b = 3.4593 Å, c = 6.9555 Å
α = 75.60°, β = 75.60°, γ = 90.00°
Fractional coordinates of all 5 atoms:
I  0.0000  0.0000  0.0000
Li  0.3067  0.3067  0.3866
Li  0.6933  0.6933  0.6134
H  0.2500  0.7500  0.5000
H  0.7500  0.2500  0.5000

Summary:
electronic total energy	-2.648	eV/atom
size of the total moment	0.000	μB/f.u.
space-group type	I4/mmm (139)
E above lowest polymorph	330	meV per atom


# 3
VASP calculation (PBE-GGA) on crystalline Ac8Te4Rh3Cl at its relaxed geometry.

a = 8.9222 Å, b = 9.4917 Å, c = 8.9221 Å
α = 118.04°, β = 120.00°, γ = 90.00°
Fractional coordinates of all 16 atoms:
Cl  0.0000  0.5000  0.0000
Ac  0.2638  0.2915  0.5276
Ac  0.7194  0.7160  0.9677
Ac  0.2806  0.2840  0.0323
Ac  0.7517  0.2840  0.0323
Ac  0.2483  0.7160  0.4966
Ac  0.2483  0.7160  0.9677
Ac  0.7517  0.2840  0.5034
Ac  0.7362  0.7084  0.4724
Te  0.5000  0.0000  0.0000
Te  0.5000  0.0000  0.5000
Te  0.0000  0.0000  0.0000
Te  0.0000  0.0000  0.5000
Rh  0.0000  0.5000  0.5000
Rh  0.5000  0.5000  0.5000
Rh  0.5000  0.5000  0.0000

Summary:
electronic total energy	-5.537	eV/atom
size of the total moment	0.000	μB/f.u.
space-group type	R-3m (166)
formation energy (no corrections)	-1.203	eV per atom


# 4
VASP calculation (PBE-GGA) on crystalline VPdC3 at its relaxed geometry.

a = 3.9015 Å, b = 3.9015 Å, c = 3.9015 Å
α = 90.00°, β = 90.00°, γ = 90.00°
Fractional coordinates of all 5 atoms:
V  0.0000  0.0000  0.0000
C  0.5000  0.0000  0.0000
C  0.0000  0.0000  0.5000
C  0.0000  0.5000  0.0000
Pd  0.5000  0.5000  0.5000

Summary:
electronic total energy	-6.540	eV/atom
size of the total moment	0.000	μB/f.u.
space-group type	Pm-3m (221)
E above lowest polymorph	0	meV per atom


# 5
VASP calculation (PBE-GGA) on crystalline Ac2PrGa6 at its relaxed geometry.

a = 4.5222 Å, b = 8.5896 Å, c = 8.5896 Å
α = 51.50°, β = 74.74°, γ = 74.74°
Fractional coordinates of all 9 atoms:
Ga  0.1468  0.5218  0.1845
Ga  0.0000  0.8284  0.1716
Ga  0.8532  0.4782  0.8155
Ga  0.0000  0.1716  0.8284
Ga  0.1468  0.1845  0.5218
Ga  0.8532  0.8155  0.4782
Pr  0.5000  0.5000  0.5000
Ac  0.3459  0.1541  0.1541
Ac  0.6541  0.8459  0.8459

Summary:
electronic total energy	-3.859	eV/atom
size of the total moment	0.000	μB/f.u.
space-group type	Immm (71)
E above lowest polymorph	249	meV per atom


# 6
VASP calculation (PBE-GGA) on crystalline Tb5Pm2Bi5 at its relaxed geometry.

a = 4.4667 Å, b = 7.6416 Å, c = 12.9254 Å
α = 107.99°, β = 90.00°, γ = 106.99°
Fractional coordinates of all 12 atoms:
Bi  0.8764  0.7528  0.5580
Bi  0.2981  0.5962  0.2068
Bi  0.1236  0.2472  0.4420
Bi  0.7019  0.4038  0.7932
Bi  0.0000  0.0000  0.0000
Tb  0.6599  0.3197  0.0347
Tb  0.7143  0.4286  0.3382
Tb  0.3401  0.6803  0.9653
Tb  0.5000  0.0000  0.5000
Tb  0.2857  0.5714  0.6618
Pm  0.0424  0.0849  0.7803
Pm  0.9576  0.9151  0.2197

Summary:
electronic total energy	-4.951	eV/atom
size of the total moment	0.000	μB/f.u.
space-group type	C2/m (12)


# 7
VASP calculation (PBE-GGA) on crystalline Y4IrAu3 at its relaxed geometry.

a = 3.5552 Å, b = 3.5552 Å, c = 14.3628 Å
α = 90.00°, β = 90.00°, γ = 90.00°
Fractional coordinates of all 8 atoms:
Y  0.0000  0.0000  0.1143
Y  0.0000  0.0000  0.8857
Y  0.0000  0.0000  0.6291
Y  0.0000  0.0000  0.3709
Ir  0.5000  0.5000  0.0000
Au  0.5000  0.5000  0.7528
Au  0.5000  0.5000  0.2472
Au  0.5000  0.5000  0.5000

Summary:
electronic total energy	-6.413	eV/atom
size of the total moment	0.000	μB/f.u.
space-group type	P4/mmm (123)


# 8
VASP calculation (PBE-GGA) on crystalline K2MgAu2 at its relaxed geometry.

a = 6.5934 Å, b = 8.1382 Å, c = 8.2992 Å
α = 119.36°, β = 113.41°, γ = 90.00°
Fractional coordinates of all 10 atoms:
Mg  0.7500  0.5000  0.0000
Mg  0.2500  0.5000  0.0000
K  0.8494  0.7031  0.6988
K  0.1506  0.2969  0.3012
K  0.6506  0.0043  0.3012
K  0.3494  0.9957  0.6988
Au  0.9049  0.1861  0.8098
Au  0.0951  0.8139  0.1902
Au  0.5951  0.3763  0.1902
Au  0.4049  0.6237  0.8098

Summary:
electronic total energy	-2.312	eV/atom
size of the total moment	0.000	μB/f.u.
space-group type	Ibam (72)
E above lowest polymorph	0	meV per atom


- Which of these has the lowest electronic total energy?
  VPdC3


- size of the total moment of number 8 (K2MgAu2)?
  0.000 μB/f.u.


Copy entry 8 word for word.
VASP calculation (PBE-GGA) on crystalline K2MgAu2 at its relaxed geometry.

a = 6.5934 Å, b = 8.1382 Å, c = 8.2992 Å
α = 119.36°, β = 113.41°, γ = 90.00°
Fractional coordinates of all 10 atoms:
Mg  0.7500  0.5000  0.0000
Mg  0.2500  0.5000  0.0000
K  0.8494  0.7031  0.6988
K  0.1506  0.2969  0.3012
K  0.6506  0.0043  0.3012
K  0.3494  0.9957  0.6988
Au  0.9049  0.1861  0.8098
Au  0.0951  0.8139  0.1902
Au  0.5951  0.3763  0.1902
Au  0.4049  0.6237  0.8098

Summary:
electronic total energy	-2.312	eV/atom
size of the total moment	0.000	μB/f.u.
space-group type	Ibam (72)
E above lowest polymorph	0	meV per atom